The following is a PBE with a Hubbard U calculation of a relaxed structure of Tl3Co2RhO6, from the Alexandria database.

Results
Calculated total energy = -5.174 eV per atom
Calculated volume = 13.202 Å³ per atom

Unit cell a=5.310 b=5.310 c=6.725 alpha=97.55 beta=97.55 gamma=119.99
Each line ends with the local moment (μB).
Atoms (fractional coordinates):
Co (0.333, 0.667, 0.000)  0.03
Co (0.667, 0.333, 0.000)  0.03
O (0.296, 0.296, 0.854)  0.02
O (0.606, 0.951, 0.853)  0.02
O (0.704, 0.704, 0.146)  0.02
O (0.394, 0.049, 0.147)  0.02
O (0.951, 0.606, 0.853)  0.02
O (0.049, 0.394, 0.147)  0.02
Tl (0.833, 0.167, 0.500)  0.00
Tl (0.500, 0.500, 0.500)  0.00
Tl (0.167, 0.833, 0.500)  0.00
Rh (0.000, 0.000, 0.000)  0.21